DFT (PBE) results for a relaxed structure of NaS4F.

a = 4.330 Å, b = 5.931 Å, c = 13.083 Å
α = 87.09°, β = 83.48°, γ = 68.75°
Sites, in units of the cell vectors:
Na 0.068 0.231 0.238
Na 0.932 0.769 0.762
S 0.061 0.163 0.001
S 0.102 0.072 0.562
S 0.138 0.575 0.437
S 0.302 0.586 0.065
S 0.698 0.414 0.935
S 0.862 0.425 0.563
S 0.898 0.928 0.438
S 0.939 0.837 0.999
F 0.440 0.755 0.760
F 0.560 0.245 0.240

Computed properties:
VASP energy	-3.954	eV per atom
formation energy without anion corrections	-671	meV per atom
magnetization	0.00	μB per cell


DFT (PBE) results for a relaxed structure of NaS2F.

a = 4.499 Å, b = 4.499 Å, c = 4.499 Å
α = 60.00°, β = 60.00°, γ = 60.00°
Sites, in units of the cell vectors:
Na 0.000 0.000 0.000
S 0.250 0.250 0.250
S 0.750 0.750 0.750
F 0.500 0.500 0.500

Computed properties:
offset from the most stable computed form	1141.7	meV/atom
D(E_F)	3.86	states/eV per cell
VASP energy	-2.746	eV per atom
formation energy without anion corrections	115	meV per atom
magnetization	0.00	μB per cell


DFT (PBE) results for a relaxed structure of NaSi2SF.

a = 4.473 Å, b = 4.473 Å, c = 4.635 Å
α = 90.00°, β = 90.00°, γ = 90.00°
Sites, in units of the cell vectors:
Na 0.000 0.000 0.000
Si 0.000 0.500 0.500
Si 0.500 0.000 0.500
S 0.500 0.500 0.000
F 0.000 0.000 0.500

Computed properties:
D(E_F)	2.54	states/eV per cell
VASP energy	-3.663	eV per atom
formation energy without anion corrections	-30	meV per atom
magnetization	0.00	μB per cell


DFT (PBE) results for a relaxed structure of Na2SnSF.

a = 5.504 Å, b = 5.504 Å, c = 4.139 Å
α = 90.00°, β = 90.00°, γ = 90.00°
Sites, in units of the cell vectors:
Na 0.000 0.500 0.000
Na 0.500 0.000 0.000
Sn 0.000 0.000 0.500
S 0.500 0.500 0.000
F 0.500 0.500 0.500

Computed properties:
offset from the most stable computed form	678.3	meV/atom
D(E_F)	4.18	states/eV per cell
VASP energy	-2.896	eV per atom
formation energy without anion corrections	-368	meV per atom
magnetization	0.43	μB per cell


DFT (PBE) results for a relaxed structure of Na2SnSF.

a = 4.454 Å, b = 4.454 Å, c = 5.359 Å
α = 90.00°, β = 90.00°, γ = 90.00°
Sites, in units of the cell vectors:
Na 0.000 0.500 0.000
Na 0.500 0.000 0.000
Sn 0.000 0.000 0.500
S 0.500 0.500 0.500
F 0.000 0.000 0.000

Computed properties:
offset from the most stable computed form	0.0	meV/atom
D(E_F)	2.83	states/eV per cell
VASP energy	-3.574	eV per atom
formation energy without anion corrections	-1046	meV per atom
magnetization	0.00	μB per cell


DFT (PBE) results for a relaxed structure of NaZnSF.

a = 3.819 Å, b = 3.819 Å, c = 11.460 Å
α = 90.00°, β = 90.00°, γ = 120.00°
Sites, in units of the cell vectors:
Na 0.333 0.667 0.000
Na 0.667 0.333 0.500
Zn 0.000 0.000 0.242
Zn 0.000 0.000 0.742
S 0.333 0.667 0.304
S 0.667 0.333 0.804
F 0.000 0.000 0.064
F 0.000 0.000 0.564

Computed properties:
D(E_F)	0.00	states/eV per cell
VASP energy	-3.846	eV per atom
formation energy without anion corrections	-1698	meV per atom
magnetization	0.00	μB per cell


DFT (PBE) results for a relaxed structure of NaZrS2F.

a = 5.042 Å, b = 5.042 Å, c = 4.219 Å
α = 90.00°, β = 90.00°, γ = 90.00°
Sites, in units of the cell vectors:
Na 0.000 0.000 0.000
Zr 0.500 0.500 0.500
S 0.000 0.500 0.500
S 0.500 0.000 0.500
F 0.500 0.500 0.000

Computed properties:
D(E_F)	0.19	states/eV per cell
VASP energy	-5.894	eV per atom
formation energy without anion corrections	-1895	meV per atom
magnetization	0.00	μB per cell


DFT (PBE) results for a relaxed structure of NaSbF2.

a = 7.193 Å, b = 7.193 Å, c = 7.193 Å
α = 27.34°, β = 27.34°, γ = 27.34°
Sites, in units of the cell vectors:
Na 0.000 0.000 0.000
Sb 0.500 0.500 0.500
F 0.393 0.393 0.393
F 0.607 0.607 0.607

Computed properties:
offset from the most stable computed form	0.0	meV/atom
D(E_F)	0.60	states/eV per cell
VASP energy	-4.368	eV per atom
formation energy without anion corrections	-2072	meV per atom
magnetization	0.00	μB per cell


DFT (PBE) results for a relaxed structure of NaSbF3.

a = 4.662 Å, b = 4.662 Å, c = 4.662 Å
α = 90.00°, β = 90.00°, γ = 90.00°
Sites, in units of the cell vectors:
Na 0.000 0.000 0.000
Sb 0.500 0.500 0.500
F 0.000 0.500 0.500
F 0.500 0.000 0.500
F 0.500 0.500 0.000

Computed properties:
offset from the most stable computed form	248.6	meV/atom
D(E_F)	2.42	states/eV per cell
VASP energy	-4.041	eV per atom
formation energy without anion corrections	-1829	meV per atom
magnetization	0.00	μB per cell


DFT (PBE) results for a relaxed structure of Na2SbF5.

a = 5.554 Å, b = 8.208 Å, c = 11.408 Å
α = 90.00°, β = 90.00°, γ = 90.00°
Sites, in units of the cell vectors:
Na 0.012 0.101 0.239
Na 0.067 0.643 0.936
Na 0.433 0.357 0.436
Na 0.488 0.899 0.739
Na 0.512 0.399 0.761
Na 0.567 0.857 0.064
Na 0.933 0.143 0.564
Na 0.988 0.601 0.261
Sb 0.001 0.576 0.616
Sb 0.499 0.424 0.116
Sb 0.501 0.924 0.384
Sb 0.999 0.076 0.884
F 0.107 0.007 0.715
F 0.148 0.558 0.444
F 0.174 0.354 0.199
F 0.187 0.364 0.625
F 0.233 0.101 0.429
F 0.267 0.899 0.929
F 0.313 0.636 0.125
F 0.326 0.646 0.699
F 0.352 0.442 0.944
F 0.393 0.993 0.215
F 0.607 0.493 0.285
F 0.648 0.942 0.556
F 0.674 0.146 0.801
F 0.687 0.136 0.375
F 0.733 0.399 0.571
F 0.767 0.601 0.071
F 0.813 0.864 0.875
F 0.826 0.854 0.301
F 0.852 0.058 0.056
F 0.893 0.507 0.785

Computed properties:
D(E_F)	0.00	states/eV per cell
VASP energy	-4.632	eV per atom
formation energy without anion corrections	-2618	meV per atom
magnetization	0.00	μB per cell


DFT (PBE) results for a relaxed structure of Na2SbF2.

a = 7.760 Å, b = 7.760 Å, c = 7.760 Å
α = 149.67°, β = 149.67°, γ = 43.42°
Sites, in units of the cell vectors:
Na 0.250 0.750 0.500
Na 0.750 0.250 0.500
Sb 0.000 0.000 0.000
F 0.303 0.303 0.000
F 0.697 0.697 0.000

Computed properties:
offset from the most stable computed form	25.6	meV/atom
D(E_F)	1.33	states/eV per cell
VASP energy	-3.665	eV per atom
formation energy without anion corrections	-1564	meV per atom
magnetization	1.12	μB per cell


DFT (PBE) results for a relaxed structure of NaSbF4.

a = 8.104 Å, b = 5.755 Å, c = 8.615 Å
α = 90.00°, β = 91.22°, γ = 90.00°
Sites, in units of the cell vectors:
Na 0.148 0.200 0.328
Na 0.148 0.300 0.828
Na 0.852 0.700 0.172
Na 0.852 0.800 0.672
Sb 0.332 0.697 0.150
Sb 0.332 0.803 0.650
Sb 0.668 0.197 0.350
Sb 0.668 0.303 0.850
F 0.112 0.643 0.680
F 0.112 0.857 0.180
F 0.188 0.087 0.585
F 0.188 0.413 0.085
F 0.297 0.549 0.357
F 0.297 0.951 0.857
F 0.407 0.513 0.803
F 0.407 0.987 0.303
F 0.593 0.013 0.697
F 0.593 0.487 0.197
F 0.703 0.049 0.143
F 0.703 0.451 0.643
F 0.812 0.587 0.915
F 0.812 0.913 0.415
F 0.888 0.143 0.820
F 0.888 0.357 0.320

Computed properties:
D(E_F)	0.00	states/eV per cell
VASP energy	-4.709	eV per atom
formation energy without anion corrections	-2555	meV per atom
magnetization	0.00	μB per cell


DFT (PBE) results for a relaxed structure of NaSbF3.

a = 8.088 Å, b = 8.088 Å, c = 5.589 Å
α = 90.00°, β = 90.00°, γ = 151.77°
Sites, in units of the cell vectors:
Na 0.056 0.944 0.500
Na 0.944 0.056 0.000
Sb 0.339 0.661 0.544
Sb 0.661 0.339 0.044
F 0.090 0.910 0.892
F 0.183 0.817 0.266
F 0.446 0.554 0.757
F 0.554 0.446 0.257
F 0.817 0.183 0.766
F 0.910 0.090 0.392

Computed properties:
offset from the most stable computed form	0.0	meV/atom
D(E_F)	2.35	states/eV per cell
VASP energy	-4.289	eV per atom
formation energy without anion corrections	-2078	meV per atom
magnetization	0.00	μB per cell


DFT (PBE) results for a relaxed structure of Na2Sb2F7.

a = 6.737 Å, b = 6.737 Å, c = 9.972 Å
α = 107.27°, β = 107.27°, γ = 81.91°
Sites, in units of the cell vectors:
Na 0.033 0.222 0.432
Na 0.222 0.033 0.932
Na 0.778 0.967 0.068
Na 0.967 0.778 0.568
Sb 0.057 0.534 0.176
Sb 0.466 0.943 0.324
Sb 0.534 0.057 0.676
Sb 0.943 0.466 0.824
F 0.035 0.766 0.906
F 0.046 0.472 0.649
F 0.100 0.900 0.250
F 0.234 0.965 0.594
F 0.235 0.345 0.882
F 0.345 0.235 0.382
F 0.472 0.046 0.149
F 0.528 0.954 0.851
F 0.655 0.765 0.618
F 0.765 0.655 0.118
F 0.766 0.035 0.406
F 0.900 0.100 0.750
F 0.954 0.528 0.351
F 0.965 0.234 0.094

Computed properties:
D(E_F)	0.81	states/eV per cell
VASP energy	-4.515	eV per atom
formation energy without anion corrections	-2335	meV per atom
magnetization	2.04	μB per cell


DFT (PBE) results for a relaxed structure of Na8Sb2F.

a = 8.882 Å, b = 8.882 Å, c = 6.709 Å
α = 112.07°, β = 112.07°, γ = 36.58°
Sites, in units of the cell vectors:
Na 0.000 0.000 0.245
Na 0.000 0.000 0.755
Na 0.211 0.211 0.707
Na 0.379 0.379 0.145
Na 0.382 0.382 0.619
Na 0.618 0.618 0.381
Na 0.621 0.621 0.855
Na 0.789 0.789 0.293
Sb 0.173 0.173 0.173
Sb 0.827 0.827 0.827
F 0.500 0.500 0.500

Computed properties:
D(E_F)	3.08	states/eV per cell
VASP energy	-2.555	eV per atom
formation energy without anion corrections	-676	meV per atom
magnetization	0.48	μB per cell


DFT (PBE) results for a relaxed structure of Na2SbF.

a = 8.081 Å, b = 8.081 Å, c = 8.081 Å
α = 24.41°, β = 24.41°, γ = 24.41°
Sites, in units of the cell vectors:
Na 0.224 0.224 0.224
Na 0.776 0.776 0.776
Sb 0.000 0.000 0.000
F 0.500 0.500 0.500

Computed properties:
offset from the most stable computed form	0.0	meV/atom
D(E_F)	0.65	states/eV per cell
VASP energy	-3.616	eV per atom
formation energy without anion corrections	-1458	meV per atom
magnetization	0.00	μB per cell


DFT (PBE) results for a relaxed structure of Na3SbF6.

a = 3.839 Å, b = 6.751 Å, c = 6.792 Å
α = 118.88°, β = 97.53°, γ = 96.27°
Sites, in units of the cell vectors:
Na 0.000 0.000 0.000
Na 0.000 0.000 0.500
Na 0.000 0.500 0.000
Sb 0.500 0.500 0.500
F 0.002 0.385 0.618
F 0.385 0.099 0.332
F 0.386 0.328 0.099
F 0.614 0.672 0.901
F 0.615 0.901 0.668
F 0.998 0.615 0.382

Computed properties:
offset from the most stable computed form	97.2	meV/atom
D(E_F)	0.00	states/eV per cell
VASP energy	-4.421	eV per atom
formation energy without anion corrections	-2490	meV per atom
magnetization	0.00	μB per cell


DFT (PBE) results for a relaxed structure of NaSb2F11.

a = 8.445 Å, b = 8.445 Å, c = 8.445 Å
α = 113.70°, β = 113.12°, γ = 101.86°
Sites, in units of the cell vectors:
Na 0.250 0.250 0.000
Na 0.750 0.750 0.000
Sb 0.158 0.660 0.818
Sb 0.342 0.160 0.503
Sb 0.658 0.840 0.497
Sb 0.842 0.340 0.182
F 0.000 0.500 0.500
F 0.076 0.368 0.190
F 0.118 0.926 0.299
F 0.127 0.426 0.808
F 0.178 0.886 0.810
F 0.199 0.303 0.502
F 0.301 0.803 0.105
F 0.322 0.132 0.708
F 0.373 0.181 0.299
F 0.382 0.681 0.808
F 0.424 0.614 0.292
F 0.500 0.000 0.500
F 0.576 0.386 0.708
F 0.618 0.319 0.192
F 0.627 0.819 0.701
F 0.678 0.868 0.292
F 0.699 0.197 0.895
F 0.801 0.697 0.498
F 0.822 0.114 0.190
F 0.873 0.574 0.192
F 0.882 0.074 0.701
F 0.924 0.632 0.810

Computed properties:
D(E_F)	0.00	states/eV per cell
VASP energy	-4.525	eV per atom
formation energy without anion corrections	-2371	meV per atom
magnetization	0.00	μB per cell


DFT (PBE) results for a relaxed structure of NaSbF4.

a = 5.220 Å, b = 5.220 Å, c = 3.634 Å
α = 90.00°, β = 90.00°, γ = 91.98°
Sites, in units of the cell vectors:
Na 0.000 0.000 0.000
Sb 0.500 0.500 0.500
F 0.205 0.205 0.500
F 0.315 0.685 0.000
F 0.685 0.315 0.000
F 0.795 0.795 0.500

Computed properties:
D(E_F)	0.00	states/eV per cell
VASP energy	-4.598	eV per atom
formation energy without anion corrections	-2444	meV per atom
magnetization	0.00	μB per cell


DFT (PBE) results for a relaxed structure of Na2SbF.

a = 6.365 Å, b = 6.365 Å, c = 6.365 Å
α = 115.56°, β = 115.56°, γ = 97.88°
Sites, in units of the cell vectors:
Na 0.375 0.245 0.370
Na 0.755 0.125 0.130
Na 0.875 0.005 0.630
Na 0.995 0.625 0.870
Sb 0.250 0.750 0.500
Sb 0.500 0.500 0.000
F 0.000 0.000 0.000
F 0.750 0.250 0.500

Computed properties:
offset from the most stable computed form	214.8	meV/atom
D(E_F)	2.33	states/eV per cell
VASP energy	-3.401	eV per atom
formation energy without anion corrections	-1244	meV per atom
magnetization	0.00	μB per cell